# GGA-PBE NbHgS3, optimized geometry
# D(E_F) (states/eV/cell): 5.16
# Energy (Ry per atom): -0.3525
# Size of the total moment (μB/cell): 0.00
data_NbHgS3
_cell_length_a 4.845
_cell_length_b 4.845
_cell_length_c 4.845
_cell_angle_alpha 90.00
_cell_angle_beta 90.00
_cell_angle_gamma 90.00
_space_group_name_H-M_alt 'P m -3 m'
_space_group_IT_number 221
_space_group_name_Hall '-P 4 2 3'
loop_
_atom_site_label
_atom_site_type_symbol
_atom_site_fract_x
_atom_site_fract_y
_atom_site_fract_z
_atom_site_occupancy
Nb1 Nb 0.000 0.000 0.000 1
Hg1 Hg 0.500 0.500 0.500 1
S1 S 0.000 0.000 0.500 1

# GGA-PBE Na3TeH, optimized geometry
# D(E_F) (states/eV/cell): 0.00
# Energy (Ry per atom): -0.1703
# Size of the total moment (μB/cell): 0.00
data_Na3TeH
_cell_length_a 5.830
_cell_length_b 5.830
_cell_length_c 5.830
_cell_angle_alpha 90.00
_cell_angle_beta 90.00
_cell_angle_gamma 90.00
_space_group_name_H-M_alt 'P m -3 m'
_space_group_IT_number 221
_space_group_name_Hall '-P 4 2 3'
loop_
_atom_site_label
_atom_site_type_symbol
_atom_site_fract_x
_atom_site_fract_y
_atom_site_fract_z
_atom_site_occupancy
Na1 Na 0.000 0.000 0.500 1
Te1 Te 0.000 0.000 0.000 1
H1 H 0.500 0.500 0.500 1

# GGA-PBE PmTl2OsO8, optimized geometry
# D(E_F) (states/eV/cell): 4.13
# Energy (Ry per atom): -0.4618
# Size of the total moment (μB/cell): 0.00
data_PmTl2OsO8
_cell_length_a 5.124
_cell_length_b 5.125
_cell_length_c 6.823
_cell_angle_alpha 91.31
_cell_angle_beta 91.32
_cell_angle_gamma 90.22
_space_group_name_H-M_alt 'P -1'
_space_group_IT_number 2
loop_
_space_group_symop_operation_xyz
'x,y,z'
'-x,-y,-z'
loop_
_atom_site_label
_atom_site_type_symbol
_atom_site_fract_x
_atom_site_fract_y
_atom_site_fract_z
_atom_site_occupancy
Pm1 Pm 0.000 0.000 0.000 1
Tl1 Tl 0.484 0.484 0.748 1
Os1 Os 0.000 0.000 0.500 1
O1 O 0.174 0.817 0.296 1
O2 O 0.184 0.827 0.704 1
O3 O 0.263 0.265 0.499 1
O4 O 0.309 0.311 0.013 1